1.
Compound: CaNd9In2
Source: the Alexandria database
Functional: GGA-PBE
Structure: optimized geometry

The space group is P4/mmm (No. 123) and the conventional cell measures 5.026, 5.026 and 15.497 Å, with angles of 90.00, 90.00 and 90.00 degrees. The inequivalent atoms are Ca at (0.000, 0.000, 0.000), Nd at (0.000, 0.500, 0.179), Nd at (0.000, 0.500, 0.500), Nd at (0.500, 0.500, 0.000), Nd at (0.500, 0.500, 0.338) and In at (0.000, 0.000, 0.340).

The calculation puts the total energy at -52.16 eV per cell. The energy of formation comes out at -0.15 eV per atom. The crystal system is tetragonal.

2.
Compound: CaNd2In6
Source: the Alexandria database
Functional: GGA-PBE
Structure: optimized geometry

The space group is P6/mmm (No. 191) and the conventional cell measures 8.6902, 8.6902 and 3.7230 Å, with angles of 90.00, 90.00 and 120.00 degrees. The inequivalent atoms are Ca at (0.0000, 0.0000, 0.0000), Nd at (0.3333, 0.6667, 0.0000) and In at (0.0000, 0.3331, 0.5000).

The calculation puts the total energy at -31.84 eV per cell. The energy of formation comes out at -0.43 eV per atom. The crystal system is hexagonal.

3.
Compound: Ca3Nd2In4
Source: the Alexandria database
Functional: GGA-PBE
Structure: optimized geometry

The space group is P-3m1 (No. 164) and the conventional cell measures 5.4638, 5.4638 and 10.4703 Å, with angles of 90.00, 90.00 and 120.00 degrees. The inequivalent atoms are Ca at (0.0000, 0.0000, 0.0000), Ca at (0.3333, 0.6667, 0.5773), Nd at (0.3333, 0.6667, 0.2033), In at (0.0000, 0.0000, 0.3451) and In at (0.3333, 0.6667, 0.8922).

The calculation puts the total energy at -30.09 eV per cell. The energy of formation comes out at -0.40 eV per atom. The crystal system is trigonal.

4.
Compound: Ca5NdIn4
Source: the Alexandria database
Functional: GGA-PBE
Structure: optimized geometry

The space group is P4/mmm (No. 123) and the conventional cell measures 3.861, 3.861 and 20.476 Å, with angles of 90.00, 90.00 and 90.00 degrees. The inequivalent atoms are Ca at (0.000, 0.000, 0.000), Ca at (0.000, 0.000, 0.186), Ca at (0.000, 0.000, 0.372), Nd at (0.500, 0.500, 0.500), In at (0.500, 0.500, 0.093) and In at (0.500, 0.500, 0.281).

The calculation puts the total energy at -29.17 eV per cell. The energy of formation comes out at -0.34 eV per atom. The crystal system is tetragonal.

5.
Compound: CaNd5In4
Source: the Alexandria database
Functional: GGA-PBE
Structure: optimized geometry

The space group is P4/mmm (No. 123) and the conventional cell measures 3.693, 3.693 and 22.752 Å, with angles of 90.00, 90.00 and 90.00 degrees. The inequivalent atoms are Ca at (0.000, 0.000, 0.000), Nd at (0.500, 0.500, 0.127), Nd at (0.500, 0.500, 0.313), Nd at (0.500, 0.500, 0.500), In at (0.000, 0.000, 0.218) and In at (0.000, 0.000, 0.406).

The calculation puts the total energy at -40.47 eV per cell. As for the energy above the most stable polymorph in this dataset: 0 meV/atom. The energy of formation comes out at -0.37 eV per atom. The crystal system is tetragonal.

6.
Compound: CaNdIn6
Source: the Alexandria database
Functional: GGA-PBE
Structure: optimized geometry

The space group is P4/mmm (No. 123) and the conventional cell measures 4.721, 4.721 and 9.442 Å, with angles of 90.00, 90.00 and 90.00 degrees. The inequivalent atoms are Ca at (0.000, 0.000, 0.000), Nd at (0.000, 0.000, 0.500), In at (0.000, 0.500, 0.248), In at (0.500, 0.500, 0.000) and In at (0.500, 0.500, 0.500).

The calculation puts the total energy at -26.35 eV per cell. The energy of formation comes out at -0.39 eV per atom. The crystal system is tetragonal.

7.
Compound: CaNd6In5
Source: the Alexandria database
Functional: GGA-PBE
Structure: optimized geometry

The space group is Immm (No. 71) and the conventional cell measures 5.528, 7.792 and 16.746 Å, with angles of 90.00, 90.00 and 90.00 degrees. The inequivalent atoms are Ca at (0.000, 0.000, 0.000), Nd at (0.000, 0.231, 0.500), Nd at (0.000, 0.257, 0.174), In at (0.000, 0.000, 0.333), In at (0.000, 0.500, 0.000) and In at (0.000, 0.500, 0.349).

The calculation puts the total energy at -98.29 eV per cell. The energy of formation comes out at -0.40 eV per atom. The crystal system is orthorhombic.

8.
Compound: CaNdIn4
Source: the Alexandria database
Functional: GGA-PBE
Structure: optimized geometry

The space group is P2/m (No. 10) and the conventional cell measures 3.735, 5.007 and 8.719 Å, with angles of 90.00, 90.09 and 90.00 degrees. The inequivalent atoms are Ca at (0.000, 0.000, 0.000), Nd at (0.000, 0.500, 0.500), In at (0.480, 0.000, 0.334) and In at (0.482, 0.500, 0.833).

The calculation puts the total energy at -20.21 eV per cell. As for the energy above the most stable polymorph in this dataset: 0 meV/atom. The energy of formation comes out at -0.41 eV per atom. The crystal system is monoclinic.

Number 1: DOS(E_F) 16.83 states/eV per cell, magnetization 0.00 Bohr magnetons per cell. Number 2: DOS(E_F) 4.67 states/eV per cell, magnetization 0.00 Bohr magnetons per cell. Number 3: DOS(E_F) 6.37 states/eV per cell, magnetization 0.00 Bohr magnetons per cell. Number 4: DOS(E_F) 9.25 states/eV per cell, magnetization 0.00 Bohr magnetons per cell. Number 5: DOS(E_F) 8.67 states/eV per cell, magnetization 0.00 Bohr magnetons per cell. Number 6: DOS(E_F) 2.97 states/eV per cell, magnetization 0.00 Bohr magnetons per cell. Number 7: DOS(E_F) 18.80 states/eV per cell, magnetization 0.00 Bohr magnetons per cell. Number 8: DOS(E_F) 3.25 states/eV per cell, magnetization 0.00 Bohr magnetons per cell.